{
  "formula": "CrAgWBr2",
  "functional": "PBE",
  "state": "optimized geometry",
  "final_energy_ev_per_atom": -4.6356,
  "raw_formation_energy_mev_per_atom": 1119,
  "lattice": [[4.896, 0.000, 0.000], [0.000, 5.573, 0.000], [0.000, 0.000, 4.896]],
  "species": ["Cr", "Ag", "Br", "Br", "W"],
  "frac_coords": [[0.500, 0.500, 0.500], [0.000, 0.500, 0.000], [0.500, 0.000, 0.000], [0.000, 0.000, 0.500], [0.000, 0.000, 0.000]]
}